Compound: BaSnW3
Source: Alexandria
Functional: PBE-GGA
Structure: optimized geometry

Output
- V: 26.57 Å³ per atom
- VASP energy: -6.59 eV per atom
- Distance to the lowest polymorph of the same formula: 0.00 eV/f.u.
- Formation energy: 2362 meV per atom
- Magnetic moment: 0.0 μB/cell

Lattice parameters (Å, degrees): 5.103 5.103 5.103 90.00 90.00 90.00
Space group Pm-3m (No. 221)
One atom of each set of equivalent atoms:
Ba: 0.000 0.000 0.000 x1
Sn: 0.500 0.500 0.500 x1
W: 0.000 0.500 0.500 x3